1.
Crystalline YEr3Ni at its relaxed geometry, computed with PBE-GGA.

Results
Space group: P2_1/c, No. 14
Formation enthalpy at 0 K: -0.61 eV per formula unit
Total magnetic moment: 0.00 μB/cell
Total energy: -5.308 eV per atom

```
YEr3Ni
1.0
7.879 0.000 0.000
0.000 7.132 0.000
-2.854 0.000 9.432
Y Er Ni
4 12 4
direct
0.184 0.041 0.257
0.184 0.459 0.757
0.816 0.541 0.243
0.816 0.959 0.743
0.070 0.705 0.027
0.070 0.795 0.527
0.283 0.509 0.380
0.283 0.991 0.880
0.416 0.130 0.607
0.416 0.370 0.107
0.584 0.630 0.893
0.584 0.870 0.393
0.717 0.009 0.120
0.717 0.491 0.620
0.930 0.205 0.473
0.930 0.295 0.973
0.437 0.739 0.607
0.437 0.761 0.107
0.563 0.239 0.893
0.563 0.261 0.393
```

=====

2.
Crystalline YEr2Ni at its relaxed geometry, computed with PBE-GGA.

Results
Space group: P4/mmm, No. 123
Formation enthalpy at 0 K: -0.74 eV per formula unit
Total magnetic moment: 0.00 μB/cell
Total energy: -5.529 eV per atom

```
YEr2Ni
1.0
3.414 0.000 0.000
0.000 3.414 0.000
0.000 0.000 8.651
Y Er Ni
1 2 1
direct
0.000 0.000 0.000
0.500 0.500 0.315
0.500 0.500 0.685
0.000 0.000 0.500
```

=====

Repeat the first record exactly.
Crystalline YEr3Ni at its relaxed geometry, computed with PBE-GGA.

Results
Space group: P2_1/c, No. 14
Formation enthalpy at 0 K: -0.61 eV per formula unit
Total magnetic moment: 0.00 μB/cell
Total energy: -5.308 eV per atom

```
YEr3Ni
1.0
7.879 0.000 0.000
0.000 7.132 0.000
-2.854 0.000 9.432
Y Er Ni
4 12 4
direct
0.184 0.041 0.257
0.184 0.459 0.757
0.816 0.541 0.243
0.816 0.959 0.743
0.070 0.705 0.027
0.070 0.795 0.527
0.283 0.509 0.380
0.283 0.991 0.880
0.416 0.130 0.607
0.416 0.370 0.107
0.584 0.630 0.893
0.584 0.870 0.393
0.717 0.009 0.120
0.717 0.491 0.620
0.930 0.205 0.473
0.930 0.295 0.973
0.437 0.739 0.607
0.437 0.761 0.107
0.563 0.239 0.893
0.563 0.261 0.393
```